This record from the Alexandria database describes YVGa after structural relaxation. The functional is PBE.

a b c (Å): 6.855 6.855 4.454
angles (deg): 90.00 90.00 120.00
Element x y z (fractional)
Y 0.000 0.574 0.000
Y 0.426 0.426 0.000
Y 0.574 0.000 0.000
V 0.000 0.202 0.500
V 0.202 0.000 0.500
V 0.798 0.798 0.500
Ga 0.000 0.000 0.000
Ga 0.333 0.667 0.500
Ga 0.667 0.333 0.500

Calculated values
E ... -6.428 eV per atom
Formation enthalpy at 0 K ... -0.2244 eV per atom
Crystal system ... hexagonal